(1)
Here is InNi3P after structural relaxation from Alexandria. Energies are from PBE.

Unit cell a=4.6198 b=4.6198 c=4.6198 alpha=90.00 beta=90.00 gamma=90.00
Closest atoms and distances in Å follow each position.
Fractional coordinates of all 5 atoms:
P: 0.5000 0.5000 0.5000  12 Ni 3.27
Ni: 0.0000 0.0000 0.5000  2 In 2.31
Ni: 0.5000 0.0000 0.0000  2 In 2.31
Ni: 0.0000 0.5000 0.0000  2 In 2.31
In: 0.0000 0.0000 0.0000  6 Ni 2.31

Space group = Pm-3m (221)
Theoretical density = 5.42 g/cm³
ΔH_f (0 K) = 1.391 eV/atom
N(E_F) = 4.9 states/eV per cell
Crystal system = cubic
E_tot = -18.54 eV/cell

***

(2)
Here is InNiP after structural relaxation from Alexandria. Energies are from PBE.

Unit cell a=6.3999 b=6.3999 c=6.3999 alpha=153.32 beta=153.32 gamma=38.10
Closest atoms and distances in Å follow each position.
Fractional coordinates of all 3 atoms:
Ni: 0.2997 0.2997 0.0000  4 P 2.31
P: 0.7185 0.7185 0.0000  4 Ni 2.31
In: 0.9818 0.9818 0.0000  4 In 2.95, 4 Ni 3.04, 1 P 3.19

Space group = I4mm (107)
Theoretical density = 6.43 g/cm³
ΔH_f (0 K) = -0.022 eV/atom
N(E_F) = 1.2 states/eV per cell
Crystal system = tetragonal
E_tot = -14.00 eV/cell

***

(3)
Here is InNi3P after structural relaxation from Alexandria. Energies are from PBE.

Unit cell a=4.2041 b=4.2041 c=4.2041 alpha=90.00 beta=90.00 gamma=90.00
Closest atoms and distances in Å follow each position.
Fractional coordinates of all 5 atoms:
In: 0.5000 0.5000 0.5000  12 Ni 2.97
Ni: 0.0000 0.5000 0.0000  2 P 2.10
Ni: 0.0000 0.0000 0.5000  2 P 2.10
Ni: 0.5000 0.0000 0.0000  2 P 2.10
P: 0.0000 0.0000 0.0000  6 Ni 2.10

Space group = Pm-3m (221)
Theoretical density = 7.19 g/cm³
ΔH_f (0 K) = -0.105 eV/atom
N(E_F) = 0.0 states/eV per cell
Crystal system = cubic
E_tot = -26.02 eV/cell

***

(4)
Here is InNiP after structural relaxation from Alexandria. Energies are from PBE.

Unit cell a=6.9076 b=6.9076 c=3.6004 alpha=90.00 beta=90.00 gamma=120.00
Closest atoms and distances in Å follow each position.
Fractional coordinates of all 9 atoms:
In: 0.2773 0.2773 0.0000  4 Ni 2.52-2.63
In: 0.7227 0.0000 0.0000  4 Ni 2.52-2.63
In: 0.0000 0.7227 0.0000  4 Ni 2.52-2.63
Ni: 0.0000 0.0000 0.5000  3 P 2.54, 6 In 2.63
Ni: 0.6667 0.3333 0.0000  3 In 2.52
Ni: 0.3333 0.6667 0.0000  3 In 2.52
P: 0.0000 0.3674 0.5000  5 Ni 2.54-2.84
P: 0.6326 0.6326 0.5000  5 Ni 2.54-2.84
P: 0.3674 0.0000 0.5000  5 Ni 2.54-2.84

Space group = P-62m (189)
Theoretical density = 6.85 g/cm³
ΔH_f (0 K) = 0.201 eV/atom
N(E_F) = 4.1 states/eV per cell
Crystal system = hexagonal
E_tot = -39.98 eV/cell

***

(5)
Here is In2Ni2P after structural relaxation from Alexandria. Energies are from PBE.

Unit cell a=6.2854 b=6.2854 c=4.1039 alpha=90.00 beta=90.00 gamma=90.00
Closest atoms and distances in Å follow each position.
Fractional coordinates of all 10 atoms:
In: 0.6608 0.8392 0.5000  6 Ni 2.61-2.86, 1 In 2.86
In: 0.8392 0.3392 0.5000  6 Ni 2.61-2.86, 1 In 2.86
In: 0.3392 0.1608 0.5000  6 Ni 2.61-2.86, 1 In 2.86
In: 0.1608 0.6608 0.5000  6 Ni 2.61-2.86, 1 In 2.86
P: 0.0000 0.0000 0.0000  4 Ni 2.37
P: 0.5000 0.5000 0.0000  4 Ni 2.37
Ni: 0.8428 0.6572 0.0000  2 P 2.37, 2 In 2.61
Ni: 0.6572 0.1572 0.0000  2 P 2.37, 2 In 2.61
Ni: 0.3428 0.8428 0.0000  2 P 2.37, 2 In 2.61
Ni: 0.1572 0.3428 0.0000  2 P 2.37, 2 In 2.61

Space group = P4/mbm (127)
Theoretical density = 7.74 g/cm³
ΔH_f (0 K) = -0.004 eV/atom
N(E_F) = 7.5 states/eV per cell
Crystal system = tetragonal
E_tot = -44.93 eV/cell

***

(6)
Here is Pm2InNi4P3 after structural relaxation from Alexandria. Energies are from PBE.

Unit cell a=3.9898 b=3.9898 c=10.0454 alpha=90.00 beta=90.00 gamma=90.00
Closest atoms and distances in Å follow each position.
Fractional coordinates of all 10 atoms:
Ni: 0.5000 0.0000 0.6524  1 P 2.24
Ni: 0.0000 0.5000 0.3476  1 P 2.24
Ni: 0.5000 0.5000 0.0000  4 P 2.35
Ni: 0.0000 0.0000 0.0000  4 P 2.35
P: 0.0000 0.5000 0.1242  5 Ni 2.24-2.35
P: 0.0000 0.0000 0.5000  4 Ni 2.51
P: 0.5000 0.0000 0.8758  5 Ni 2.24-2.35
In: 0.5000 0.5000 0.5000  4 Ni 2.51
Pm: 0.0000 0.5000 0.7699  6 P 3.02-3.37, 8 Ni 3.05-3.06, 2 In 3.37
Pm: 0.5000 0.0000 0.2301  6 P 3.02-3.37, 8 Ni 3.05-3.06, 2 In 3.37

Space group = P-4m2 (115)
Theoretical density = 7.61 g/cm³
ΔH_f (0 K) = -0.808 eV/atom
N(E_F) = 5.3 states/eV per cell
Crystal system = tetragonal
E_tot = -59.67 eV/cell